Model 1:
A relaxed Te2AuSI crystal. Source: the Alexandria database, functional GGA-PBE.

Values from the calculation:
total moment	0.0	μB/f.u.

a b c (Å): 5.3411 5.3411 5.2669
angles (deg): 90.00 90.00 90.00
Atoms (fractional coordinates):
I: 0.0000 0.0000 0.5000
S: 0.0000 0.0000 0.0000
Te: 0.0000 0.5000 0.0000
Te: 0.5000 0.0000 0.0000
Au: 0.5000 0.5000 0.5000

***

Model 2:
A relaxed Te2AuSI crystal. Source: the Alexandria database, functional GGA-PBE.

Values from the calculation:
total moment	0.0	μB/f.u.

a b c (Å): 5.4902 5.4902 5.4104
angles (deg): 90.00 90.00 90.00
Atoms (fractional coordinates):
Te: 0.0000 0.5000 0.0000
Te: 0.5000 0.0000 0.0000
S: 0.5000 0.5000 0.5000
Au: 0.0000 0.0000 0.0000
I: 0.0000 0.0000 0.5000

***

Quick one: least stable of them? model 2

***

Model 1:
A relaxed TeAuSI2 crystal. Source: the Alexandria database, functional GGA-PBE.

Values from the calculation:
total moment	1.5	μB/f.u.

a b c (Å): 5.5661 5.5661 5.5731
angles (deg): 90.00 90.00 90.00
Atoms (fractional coordinates):
I: 0.5000 0.0000 0.0000
I: 0.0000 0.5000 0.0000
Au: 0.0000 0.0000 0.0000
Te: 0.0000 0.0000 0.5000
S: 0.5000 0.5000 0.5000

***

Model 2:
A relaxed TeAuSI2 crystal. Source: the Alexandria database, functional GGA-PBE.

Values from the calculation:
total moment	0.0	μB/f.u.

a b c (Å): 5.3931 5.3931 5.4446
angles (deg): 90.00 90.00 90.00
Atoms (fractional coordinates):
I: 0.5000 0.0000 0.0000
Te: 0.0000 0.0000 0.5000
I: 0.0000 0.5000 0.0000
S: 0.0000 0.0000 0.0000
Au: 0.5000 0.5000 0.5000

***

Quick one: least stable of them? model 1

***

Model 1:
A relaxed ZnAuSI2 crystal. Source: the Alexandria database, functional GGA-PBE.

Values from the calculation:
total moment	1.0	μB/f.u.

a b c (Å): 5.7725 4.4431 5.7725
angles (deg): 90.00 90.00 90.00
Atoms (fractional coordinates):
Zn: 0.0000 0.0000 0.0000
S: 0.0000 0.5000 0.0000
I: 0.0000 0.0000 0.5000
I: 0.5000 0.0000 0.0000
Au: 0.5000 0.5000 0.5000

***

Model 2:
A relaxed ZnAuSI2 crystal. Source: the Alexandria database, functional GGA-PBE.

Values from the calculation:
total moment	1.1	μB/f.u.

a b c (Å): 5.7996 4.7330 5.7996
angles (deg): 90.00 90.00 90.00
Atoms (fractional coordinates):
I: 0.5000 0.0000 0.0000
S: 0.0000 0.5000 0.0000
I: 0.0000 0.0000 0.5000
Zn: 0.5000 0.5000 0.5000
Au: 0.0000 0.0000 0.0000

***

Quick one: least stable of them? model 2

***

Model 1:
A relaxed Sb2AuI crystal. Source: the Alexandria database, functional GGA-PBE.

Values from the calculation:
total moment	0.0	μB/f.u.

a b c (Å): 4.3764 4.3764 7.8027
angles (deg): 73.71 73.71 60.00
Atoms (fractional coordinates):
Sb: 0.7212 0.7212 0.8364
Au: 0.0000 0.0000 0.0000
Sb: 0.2788 0.2788 0.1636
I: 0.5000 0.5000 0.5000

***

Model 2:
A relaxed Sb2AuI crystal. Source: the Alexandria database, functional GGA-PBE.

Values from the calculation:
total moment	0.0	μB/f.u.

a b c (Å): 5.1297 7.1126 13.6310
angles (deg): 89.96 90.00 90.00
Atoms (fractional coordinates):
Au: 0.0000 0.7501 0.4117
Sb: 0.1929 0.5877 0.9384
Au: 0.5000 0.7499 0.0883
Sb: 0.8071 0.4123 0.0616
Sb: 0.3069 0.5876 0.5615
Au: 0.0000 0.2499 0.5883
Sb: 0.8068 0.9124 0.9385
Sb: 0.6929 0.9123 0.5616
Sb: 0.1932 0.0876 0.0615
Sb: 0.6931 0.4124 0.4385
Sb: 0.3071 0.0877 0.4384
I: 0.2504 0.0351 0.7498
I: 0.7496 0.9649 0.2502
Au: 0.5000 0.2501 0.9117
I: 0.7504 0.4649 0.7502
I: 0.2496 0.5351 0.2498

***

Model 3:
A relaxed Sb2AuI crystal. Source: the Alexandria database, functional GGA-PBE.

Values from the calculation:
total moment	0.0	μB/f.u.

a b c (Å): 5.3033 5.3033 5.3033
angles (deg): 60.00 60.00 60.00
Atoms (fractional coordinates):
Sb: 0.2500 0.2500 0.2500
Sb: 0.7500 0.7500 0.7500
I: 0.0000 0.0000 0.0000
Au: 0.5000 0.5000 0.5000

***

Quick one: least stable of them? model 3

***

Model 1:
A relaxed SbAu2I6 crystal. Source: the Alexandria database, functional GGA-PBE.

Values from the calculation:
total moment	0.0	μB/f.u.

a b c (Å): 8.5620 10.3515 10.3515
angles (deg): 90.73 78.25 78.25
Atoms (fractional coordinates):
I: 0.8763 0.2118 0.0033
I: 0.3763 0.0033 0.2118
I: 0.5497 0.6201 0.5947
Au: 0.2640 0.6868 0.7552
I: 0.3237 0.3446 0.9131
Sb: 0.7500 0.9046 0.0954
Au: 0.7360 0.3132 0.2448
I: 0.1763 0.0869 0.6554
I: 0.6763 0.6554 0.0869
I: 0.1237 0.7882 0.9967
Sb: 0.2500 0.0954 0.9046
Au: 0.7640 0.7552 0.6868
I: 0.8237 0.9131 0.3446
I: 0.9503 0.4053 0.3799
I: 0.6237 0.9967 0.7882
Au: 0.2360 0.2448 0.3132
I: 0.0497 0.5947 0.6201
I: 0.4503 0.3799 0.4053

***

Model 2:
A relaxed SbAu2I6 crystal. Source: the Alexandria database, functional GGA-PBE.

Values from the calculation:
total moment	0.0	μB/f.u.

a b c (Å): 7.6226 10.8277 10.8277
angles (deg): 93.17 78.03 78.03
Atoms (fractional coordinates):
I: 0.4895 0.9524 0.8146
I: 0.0598 0.4964 0.2713
Au: 0.3037 0.3969 0.3956
Au: 0.6963 0.6031 0.6044
Sb: 0.7500 0.0788 0.9212
Au: 0.1963 0.6044 0.6031
I: 0.5598 0.2713 0.4964
Sb: 0.2500 0.9212 0.0788
I: 0.9503 0.0568 0.6603
I: 0.0105 0.1854 0.0476
Au: 0.8037 0.3956 0.3969
I: 0.4402 0.7287 0.5036
I: 0.4503 0.6603 0.0568
I: 0.0497 0.9432 0.3397
I: 0.9895 0.8146 0.9524
I: 0.9402 0.5036 0.7287
I: 0.5105 0.0476 0.1854
I: 0.5497 0.3397 0.9432

***

Quick one: least stable of them? model 2

***

Model 1:
A relaxed SbAuI4 crystal. Source: the Alexandria database, functional GGA-PBE.

Values from the calculation:
total moment	0.0	μB/f.u.

a b c (Å): 7.7078 7.5996 11.4630
angles (deg): 70.64 91.44 94.36
Atoms (fractional coordinates):
I: 0.5583 0.7220 0.5996
I: 0.0583 0.8216 0.4004
I: 0.9417 0.1784 0.5996
I: 0.5670 0.9229 0.1958
I: 0.0670 0.6187 0.8042
I: 0.9330 0.3813 0.1958
I: 0.4330 0.0771 0.8042
Au: 0.2500 0.3532 0.7936
Sb: 0.2500 0.9503 0.5993
Sb: 0.7500 0.0497 0.4007
I: 0.4417 0.2780 0.4004
Au: 0.7500 0.6468 0.2064

***

Model 2:
A relaxed SbAuI4 crystal. Source: the Alexandria database, functional GGA-PBE.

Values from the calculation:
total moment	0.0	μB/f.u.

a b c (Å): 7.4142 8.8475 9.4432
angles (deg): 112.52 106.89 102.57
Atoms (fractional coordinates):
Au: 0.9298 0.1798 0.3596
Au: 0.0702 0.8202 0.6404
I: 0.3321 0.4298 0.6115
Sb: 0.3298 0.5798 0.1596
Sb: 0.6702 0.4202 0.8404
I: 0.6287 0.8503 0.1250
I: 0.6679 0.5702 0.3885
I: 0.0036 0.7253 0.8750
I: 0.2205 0.8183 0.3885
I: 0.9964 0.2747 0.1250
I: 0.3713 0.1497 0.8750
I: 0.7795 0.1817 0.6115

***

Quick one: least stable of them? model 2